Record 1
K6As3Br14: relaxed, PBE.

## Properties
Its formation energy from raw total energies is -1.04 eV per atom.

CIF file:
```
data_K6As3Br14
_chemical_formula_sum 'K6 As3 Br14'
_space_group_name_H-M_alt 'P 1'
_space_group_IT_number 1
_cell_length_a 7.5922
_cell_length_b 11.5002
_cell_length_c 11.5002
_cell_angle_alpha 120.00
_cell_angle_beta 90.00
_cell_angle_gamma 90.00
loop_
_space_group_symop_operation_xyz
'x,y,z'
loop_
_atom_site_label
_atom_site_type_symbol
_atom_site_fract_x
_atom_site_fract_y
_atom_site_fract_z
Br1 Br 0.2319 0.5334 0.1096
Br2 Br 0.9863 0.1455 0.9101
Br3 Br 0.9912 0.3333 0.6667
As1 As 0.3611 0.3333 0.6667
Br4 Br 0.4586 0.0000 0.0000
Br5 Br 0.9863 0.0899 0.2353
K1 K 0.8148 0.5285 0.5489
K2 K 0.2495 0.8933 0.7112
Br6 Br 0.6392 0.7978 0.5523
Br7 Br 0.5104 0.5533 0.7941
K3 K 0.8148 0.0204 0.4715
Br8 Br 0.6392 0.4477 0.2455
Br9 Br 0.2319 0.8904 0.4239
Br10 Br 0.5104 0.2408 0.4467
K4 K 0.2495 0.8179 0.1067
As2 As 0.7982 0.0000 0.0000
As3 As 0.4374 0.6667 0.3333
Br11 Br 0.5104 0.2059 0.7592
K5 K 0.2495 0.2888 0.1821
K6 K 0.8148 0.4511 0.9796
Br12 Br 0.6392 0.7545 0.2022
Br13 Br 0.9863 0.7647 0.8545
Br14 Br 0.2319 0.5761 0.4666
```

Record 2
Cs3MgSn2Br9: relaxed, PBE.

## Properties
Its formation energy from raw total energies is -1.34 eV per atom.

CIF file:
```
data_Cs3MgSn2Br9
_chemical_formula_sum 'Cs3 Mg1 Sn2 Br9'
_space_group_name_H-M_alt 'P 1'
_space_group_IT_number 1
_cell_length_a 8.1205
_cell_length_b 8.1205
_cell_length_c 9.9585
_cell_angle_alpha 90.00
_cell_angle_beta 90.00
_cell_angle_gamma 120.00
loop_
_space_group_symop_operation_xyz
'x,y,z'
loop_
_atom_site_label
_atom_site_type_symbol
_atom_site_fract_x
_atom_site_fract_y
_atom_site_fract_z
Br1 Br 0.0000 0.5000 0.0000
Br2 Br 0.5000 0.5000 0.0000
Sn1 Sn 0.3333 0.6667 0.1762
Br3 Br 0.6851 0.8425 0.3430
Cs1 Cs 0.0000 0.0000 0.0000
Sn2 Sn 0.6667 0.3333 0.8238
Br4 Br 0.5000 0.0000 0.0000
Cs2 Cs 0.6667 0.3333 0.3395
Br5 Br 0.3149 0.1575 0.6570
Br6 Br 0.1575 0.3149 0.3430
Br7 Br 0.8425 0.1575 0.6570
Mg1 Mg 0.0000 0.0000 0.5000
Br8 Br 0.1575 0.8425 0.3430
Br9 Br 0.8425 0.6851 0.6570
Cs3 Cs 0.3333 0.6667 0.6605
```

Record 3
ScCrIN2: relaxed, PBE.

## Properties
Its formation energy from raw total energies is 0.42 eV per atom.

CIF file:
```
data_ScCrIN2
_chemical_formula_sum 'Sc1 Cr1 I1 N2'
_space_group_name_H-M_alt 'P 1'
_space_group_IT_number 1
_cell_length_a 3.8665
_cell_length_b 3.8665
_cell_length_c 5.2146
_cell_angle_alpha 90.00
_cell_angle_beta 90.00
_cell_angle_gamma 90.00
loop_
_space_group_symop_operation_xyz
'x,y,z'
loop_
_atom_site_label
_atom_site_type_symbol
_atom_site_fract_x
_atom_site_fract_y
_atom_site_fract_z
I1 I 0.0000 0.0000 0.5000
Sc1 Sc 0.5000 0.5000 0.5000
Cr1 Cr 0.0000 0.0000 0.0000
N1 N 0.0000 0.5000 0.0000
N2 N 0.5000 0.0000 0.0000
```

Record 4
AcTm2Mn: relaxed, PBE.

## Properties
As for the energy of formation from the pure elements: 0.138 eV per atom.

CIF file:
```
data_AcTm2Mn
_chemical_formula_sum 'Ac1 Tm2 Mn1'
_space_group_name_H-M_alt 'P 1'
_space_group_IT_number 1
_cell_length_a 3.5724
_cell_length_b 3.5724
_cell_length_c 9.0855
_cell_angle_alpha 90.00
_cell_angle_beta 90.00
_cell_angle_gamma 90.00
loop_
_space_group_symop_operation_xyz
'x,y,z'
loop_
_atom_site_label
_atom_site_type_symbol
_atom_site_fract_x
_atom_site_fract_y
_atom_site_fract_z
Tm1 Tm 0.0000 0.0000 0.1826
Tm2 Tm 0.0000 0.0000 0.8174
Mn1 Mn 0.5000 0.5000 0.0000
Ac1 Ac 0.5000 0.5000 0.5000
```